Record 1
Below is a geometry-optimized HfH6O3F4 structure, with properties calculated at the PBE level.

a b c (Å): 6.579 9.836 7.404
angles (deg): 90.00 103.69 90.00
Space group P2_1/c (No. 14)
One atom of each set of equivalent atoms:
Hf  0.240  0.040  0.459 [4 per cell]
H  0.117  0.618  0.399 [4 per cell]
H  0.231  0.194  0.076 [4 per cell]
H  0.282  0.631  0.659 [4 per cell]
H  0.283  0.728  0.846 [4 per cell]
H  0.296  0.189  0.881 [4 per cell]
H  0.328  0.558  0.381 [4 per cell]
O  0.260  0.634  0.790 [4 per cell]
O  0.271  0.631  0.446 [4 per cell]
O  0.302  0.247  0.994 [4 per cell]
F  0.063  0.614  0.047 [4 per cell]
F  0.124  0.102  0.190 [4 per cell]
F  0.263  0.085  0.735 [4 per cell]
F  0.482  0.580  0.125 [4 per cell]

## Properties
Mass density, g/cm³: 4.4
Final energy, Ry/atom: -0.424

=====

Record 2
Below is a geometry-optimized Sm4IN2Cl structure, with properties calculated at the PBE level.

a b c (Å): 3.6892 3.6892 14.4235
angles (deg): 90.00 90.00 120.00
Space group P-6m2 (No. 187)
One atom of each set of equivalent atoms:
Sm  0.0000  0.0000  0.1496 [2 per cell]
Sm  0.3333  0.6667  0.3283 [2 per cell]
I  0.0000  0.0000  0.5000 [1 per cell]
N  0.6667  0.3333  0.2337 [2 per cell]
Cl  0.3333  0.6667  0.0000 [1 per cell]

## Properties
Mass density, g/cm³: 7.7
Final energy, Ry/atom: -0.460

=====

Record 3
Below is a geometry-optimized Li2ZnCdSb2 structure, with properties calculated at the PBE level.

a b c (Å): 7.950 4.559 15.159
angles (deg): 90.00 99.52 90.00
Space group Pm (No. 6)
One atom of each set of equivalent atoms:
Li  0.000  0.000  0.000 [1 per cell]
Li  0.009  0.500  0.493 [1 per cell]
Li  0.237  0.000  0.738 [1 per cell]
Li  0.247  0.500  0.241 [1 per cell]
Li  0.480  0.000  0.482 [1 per cell]
Li  0.500  0.500  0.996 [1 per cell]
Li  0.744  0.000  0.236 [1 per cell]
Li  0.762  0.500  0.742 [1 per cell]
Zn  0.063  0.500  0.675 [1 per cell]
Zn  0.064  0.000  0.183 [1 per cell]
Zn  0.306  0.500  0.424 [1 per cell]
Zn  0.558  0.500  0.181 [1 per cell]
Cd  0.308  0.000  0.929 [1 per cell]
Cd  0.558  0.000  0.674 [1 per cell]
Cd  0.809  0.000  0.427 [1 per cell]
Cd  0.814  0.500  0.931 [1 per cell]
Sb  0.121  0.500  0.858 [1 per cell]
Sb  0.130  0.000  0.363 [1 per cell]
Sb  0.359  0.500  0.607 [1 per cell]
Sb  0.373  0.000  0.122 [1 per cell]
Sb  0.609  0.500  0.362 [1 per cell]
Sb  0.622  0.000  0.865 [1 per cell]
Sb  0.877  0.500  0.125 [1 per cell]
Sb  0.886  0.000  0.619 [1 per cell]

## Properties
Mass density, g/cm³: 5.3
Final energy, Ry/atom: -0.199

=====

Record 4
Below is a geometry-optimized GdIrNO structure, with properties calculated at the PBE level.

a b c (Å): 4.226 6.462 4.737
angles (deg): 90.00 90.00 90.00
Space group Pmc2_1 (No. 26)
One atom of each set of equivalent atoms:
Gd  0.000  0.203  0.000 [2 per cell]
Ir  0.500  0.414  0.489 [2 per cell]
N  0.500  0.306  0.867 [2 per cell]
O  0.000  0.136  0.469 [2 per cell]

## Properties
Mass density, g/cm³: 9.7
Polymorph energy (0 for the lowest one), eV/atom: 0.4622

=====

Record 5
Below is a geometry-optimized KHoSi structure, with properties calculated at the PBE level.

a b c (Å): 7.256 7.256 7.256
angles (deg): 90.00 90.00 90.00
Space group F-43m (No. 216)
One atom of each set of equivalent atoms:
K  0.000  0.000  0.000 [4 per cell]
Ho  0.000  0.000  0.500 [4 per cell]
Si  0.250  0.250  0.750 [4 per cell]

## Properties
Mass density, g/cm³: 4.0
Polymorph energy (0 for the lowest one), eV/atom: 0.0000

=====

Record 6
Below is a geometry-optimized Ho7Ir2S2 structure, with properties calculated at the PBE level.

a b c (Å): 3.866 14.843 9.047
angles (deg): 90.00 90.00 90.00
Space group Imm2 (No. 44)
One atom of each set of equivalent atoms:
Ho  0.000  0.000  0.000 [2 per cell]
Ho  0.000  0.119  0.411 [4 per cell]
Ho  0.000  0.320  0.624 [4 per cell]
Ho  0.000  0.363  0.251 [4 per cell]
Ir  0.000  0.240  0.925 [4 per cell]
S  0.000  0.000  0.661 [2 per cell]
S  0.000  0.500  0.753 [2 per cell]

## Properties
Mass density, g/cm³: 10.3
Final energy, Ry/atom: -0.468

=====

What is the formula in the second record? Sm4IN2Cl

=====

Which of these has the lowest mass density? KHoSi

=====

The highest mass density belongs to which entry? Ho7Ir2S2